! CrCuTe2 PBE-GGA optimized geometry; values from VASP
! * SG: Fm-3m, No. 225
! * raw formation energy: 1.3 eV/f.u.
&SYSTEM
  ibrav = 0, nat = 4, ntyp = 3
/
ATOMIC_SPECIES
Cr 52.00 Cr.upf
Te 127.60 Te.upf
Cu 63.55 Cu.upf
ATOMIC_POSITIONS angstrom
Cr 0.000 0.000 0.000
Te 1.727 1.727 1.727
Te 5.180 5.180 5.180
Cu 3.453 3.453 3.453
CELL_PARAMETERS angstrom
0.000 3.453 3.453
3.453 0.000 3.453
3.453 3.453 0.000

! Cr3Cu3Te8 PBE-GGA optimized geometry; values from VASP
! * SG: R-3m, No. 166
! * raw formation energy: -2.0 eV/f.u.
&SYSTEM
  ibrav = 0, nat = 14, ntyp = 3
/
ATOMIC_SPECIES
Cr 52.00 Cr.upf
Cu 63.55 Cu.upf
Te 127.60 Te.upf
ATOMIC_POSITIONS angstrom
Cr 3.435 0.027 2.017
Cr 1.168 3.231 2.017
Cr 0.039 0.027 3.984
Cu 3.475 2.460 6.002
Cu 5.808 4.111 10.033
Cu 0.000 0.000 0.000
Te 7.027 4.974 12.137
Te 3.379 4.939 9.985
Te 5.781 1.545 9.985
Te 6.977 4.939 7.902
Te 2.257 1.597 3.898
Te 5.904 1.632 6.050
Te 3.502 5.026 6.050
Te 2.306 1.632 8.133
CELL_PARAMETERS angstrom
6.871 0.055 4.034
2.335 6.462 4.034
0.077 0.055 7.967

! CrCuTe2 PBE-GGA optimized geometry; values from VASP
! * SG: Immm, No. 71
! * raw formation energy: 1.3 eV/f.u.
&SYSTEM
  ibrav = 0, nat = 4, ntyp = 3
/
ATOMIC_SPECIES
Cr 52.00 Cr.upf
Cu 63.55 Cu.upf
Te 127.60 Te.upf
ATOMIC_POSITIONS angstrom
Cr -0.085 -2.400 1.442
Cu -2.577 -0.108 2.247
Te -4.995 -5.589 0.445
Te -2.700 -3.021 0.240
CELL_PARAMETERS angstrom
-5.058 -0.578 1.034
-0.072 -5.162 -0.577
2.468 3.232 3.232

no.,total magnetization (μB per formula unit)
1,3.09
2,7.60
3,3.69